BaReTc: relaxed, PBE-GGA.

## Properties
The symmetry is I4mm, No. 107. For the energy above the most stable polymorph in this dataset, the calculation gives 1.4 meV/atom. The value obtained for the total magnetization is 0.0 μB/f.u. The value obtained for the calculated total energy is -7.593 eV per atom. The formation energy is 0.653 eV/atom.

```
data_BaReTc
_cell_length_a 6.916
_cell_length_b 6.916
_cell_length_c 6.916
_cell_angle_alpha 153.04
_cell_angle_beta 153.04
_cell_angle_gamma 38.49
_space_group_name_H-M_alt 'P 1'
_space_group_IT_number 1
_space_group_name_Hall 'P 1'
loop_
_atom_site_label
_atom_site_type_symbol
_atom_site_fract_x
_atom_site_fract_y
_atom_site_fract_z
Ba1 Ba 0.000 0.000 0.000
Re1 Re 0.706 0.706 0.000
Tc1 Tc 0.292 0.292 0.000
```



BaReTc: relaxed, PBE-GGA.

## Properties
The symmetry is P3m1, No. 156. For the energy above the most stable polymorph in this dataset, the calculation gives 0.0 meV/atom. The value obtained for the total magnetization is 0.0 μB/f.u. The value obtained for the calculated total energy is -7.594 eV per atom. The formation energy is 0.651 eV/atom.

```
data_BaReTc
_cell_length_a 4.149
_cell_length_b 4.149
_cell_length_c 5.448
_cell_angle_alpha 90.00
_cell_angle_beta 90.00
_cell_angle_gamma 120.00
_space_group_name_H-M_alt 'P 1'
_space_group_IT_number 1
_space_group_name_Hall 'P 1'
loop_
_atom_site_label
_atom_site_type_symbol
_atom_site_fract_x
_atom_site_fract_y
_atom_site_fract_z
Ba1 Ba 0.000 0.000 0.000
Re1 Re 0.667 0.333 0.525
Tc1 Tc 0.333 0.667 0.476
```



BaReTc2: relaxed, PBE-GGA.

## Properties
The symmetry is Fm-3m, No. 225. For the energy above the most stable polymorph in this dataset, the calculation gives 535.8 meV/atom. The value obtained for the total magnetization is 0.0 μB/f.u. The value obtained for the calculated total energy is -7.571 eV per atom. The formation energy is 1.205 eV/atom.

```
data_BaReTc2
_cell_length_a 4.709
_cell_length_b 4.709
_cell_length_c 4.709
_cell_angle_alpha 60.00
_cell_angle_beta 60.00
_cell_angle_gamma 60.00
_space_group_name_H-M_alt 'P 1'
_space_group_IT_number 1
_space_group_name_Hall 'P 1'
loop_
_atom_site_label
_atom_site_type_symbol
_atom_site_fract_x
_atom_site_fract_y
_atom_site_fract_z
Ba1 Ba 0.000 0.000 0.000
Re1 Re 0.500 0.500 0.500
Tc1 Tc 0.250 0.250 0.250
Tc2 Tc 0.750 0.750 0.750
```



Please write out number 3 again, unchanged.
BaReTc2: relaxed, PBE-GGA.

## Properties
The symmetry is Fm-3m, No. 225. For the energy above the most stable polymorph in this dataset, the calculation gives 535.8 meV/atom. The value obtained for the total magnetization is 0.0 μB/f.u. The value obtained for the calculated total energy is -7.571 eV per atom. The formation energy is 1.205 eV/atom.

```
data_BaReTc2
_cell_length_a 4.709
_cell_length_b 4.709
_cell_length_c 4.709
_cell_angle_alpha 60.00
_cell_angle_beta 60.00
_cell_angle_gamma 60.00
_space_group_name_H-M_alt 'P 1'
_space_group_IT_number 1
_space_group_name_Hall 'P 1'
loop_
_atom_site_label
_atom_site_type_symbol
_atom_site_fract_x
_atom_site_fract_y
_atom_site_fract_z
Ba1 Ba 0.000 0.000 0.000
Re1 Re 0.500 0.500 0.500
Tc1 Tc 0.250 0.250 0.250
Tc2 Tc 0.750 0.750 0.750
```